Compound: Zr2CdFe
Source: Alexandria
Functional: GGA-PBE
Structure: relaxed

```
data_Zr2CdFe
_symmetry_space_group_name_H-M 'P 4 m m'
_symmetry_Int_Tables_number 99
_cell_length_a 3.309
_cell_length_b 3.309
_cell_length_c 7.132
_cell_angle_alpha 90.00
_cell_angle_beta 90.00
_cell_angle_gamma 90.00
loop_
_symmetry_equiv_pos_as_xyz
'x,y,z'
'-y,x,z'
'-x,-y,z'
'y,-x,z'
'-x,y,z'
'y,x,z'
'x,-y,z'
'-y,-x,z'
loop_
_atom_site_label
_atom_site_type_symbol
_atom_site_fract_x
_atom_site_fract_y
_atom_site_fract_z
Zr1 Zr 0.000 0.000 0.000
Zr2 Zr 0.500 0.500 0.285
Cd1 Cd 0.000 0.000 0.575
Fe1 Fe 0.500 0.500 0.809
```

Formation energy from the elements: 0.14 eV/f.u.
Magnetic moment: 1.483 μB per formula unit